Record 1
An optimized crystal structure of K2TcOs, computed with PBEsol.

Unit cell a=2.7431 b=2.7431 c=34.8495 alpha=90.00 beta=90.00 gamma=120.00
Space group R-3m (No. 166, hexagonal axes)
Symmetry-distinct sites (fractional):
K  0.0000  0.0000  0.2490
Tc  0.0000  0.0000  0.0000
Os  0.0000  0.0000  0.5000

Properties
* polymorph energy (0 for the lowest one): 0.000 eV per atom
* spin magnetization: 0.00 μB/atom
* formation enthalpy at 0 K: 1.3727 eV per atom
* V: 18.9 Å³ per atom

Record 2
An optimized crystal structure of KTcOs3, computed with PBEsol.

Unit cell a=4.402 b=4.402 c=4.402 alpha=90.00 beta=90.00 gamma=90.00
Space group Pm-3m (No. 221)
Symmetry-distinct sites (fractional):
K  0.000  0.000  0.000
Tc  0.500  0.500  0.500
Os  0.000  0.000  0.500

Properties
* spin magnetization: 0.36 μB/atom
* formation enthalpy at 0 K: 3.9824 eV per atom
* V: 17.1 Å³ per atom

Record 3
An optimized crystal structure of KTeOs2, computed with PBEsol.

Unit cell a=4.016 b=4.016 c=4.573 alpha=90.00 beta=90.00 gamma=90.00
Space group P4/mmm (No. 123)
Symmetry-distinct sites (fractional):
K  0.000  0.000  0.000
Te  0.500  0.500  0.000
Os  0.000  0.500  0.500

Properties
* formation energy without anion corrections: 1.5097 eV per atom
* spin magnetization: 0.00 μB/atom
* V: 18.4 Å³ per atom

Record 4
An optimized crystal structure of KTeOs, computed with PBEsol.

Unit cell a=4.1068 b=4.1068 c=5.9980 alpha=90.00 beta=90.00 gamma=120.00
Space group P3m1 (No. 156)
Symmetry-distinct sites (fractional):
K  0.0000  0.0000  0.0000
Te  0.3333  0.6667  0.4354
Os  0.6667  0.3333  0.5760

Properties
* formation energy without anion corrections: 0.5564 eV per atom
* spin magnetization: 0.00 μB/atom
* V: 29.2 Å³ per atom

Record 5
An optimized crystal structure of K2TiTeOs, computed with PBEsol.

Unit cell a=6.348 b=6.348 c=5.209 alpha=90.00 beta=90.00 gamma=90.00
Space group P4/mmm (No. 123)
Symmetry-distinct sites (fractional):
K  0.000  0.500  0.000
Ti  0.000  0.000  0.500
Te  0.000  0.000  0.000
Os  0.500  0.500  0.500

Properties
* formation energy without anion corrections: 1.5455 eV per atom
* spin magnetization: 1.12 μB/atom
* V: 42.0 Å³ per atom

Record 6
An optimized crystal structure of KTlOs2, computed with PBEsol.

Unit cell a=2.796 b=4.962 c=5.377 alpha=90.00 beta=90.00 gamma=90.00
Space group Pmmm (No. 47)
Symmetry-distinct sites (fractional):
K  0.000  0.000  0.000
Tl  0.500  0.500  0.000
Os  0.000  0.500  0.500
Os  0.500  0.000  0.500

Properties
* polymorph energy (0 for the lowest one): 0.000 eV per atom
* spin magnetization: 0.17 μB/atom
* formation enthalpy at 0 K: 1.4766 eV per atom
* V: 18.7 Å³ per atom

Record 7
An optimized crystal structure of KTlOs2, computed with PBEsol.

Unit cell a=5.710 b=10.270 c=2.614 alpha=90.00 beta=90.00 gamma=90.00
Space group Cmmm (No. 65)
Symmetry-distinct sites (fractional):
K  0.000  0.000  0.000
Tl  0.000  0.500  0.000
Os  0.250  0.250  0.500

Properties
* polymorph energy (0 for the lowest one): 0.083 eV per atom
* spin magnetization: 0.00 μB/atom
* formation enthalpy at 0 K: 1.5591 eV per atom
* V: 19.2 Å³ per atom

Record 8
An optimized crystal structure of KTlOs2, computed with PBEsol.

Unit cell a=6.656 b=6.656 c=6.656 alpha=90.00 beta=90.00 gamma=90.00
Space group Fm-3m (No. 225)
Symmetry-distinct sites (fractional):
K  0.000  0.000  0.000
Tl  0.000  0.000  0.500
Os  0.250  0.250  0.250

Properties
* polymorph energy (0 for the lowest one): 0.530 eV per atom
* spin magnetization: 0.45 μB/atom
* formation enthalpy at 0 K: 2.0063 eV per atom
* V: 18.4 Å³ per atom

Record 9
An optimized crystal structure of KTl2Os2, computed with PBEsol.

Unit cell a=3.573 b=3.573 c=19.308 alpha=90.00 beta=90.00 gamma=90.00
Space group I4/mmm (No. 139)
Symmetry-distinct sites (fractional):
K  0.000  0.000  0.000
Tl  0.000  0.000  0.370
Os  0.000  0.500  0.250

Properties
* spin magnetization: 0.00 μB/atom
* formation enthalpy at 0 K: 0.5971 eV per atom
* V: 24.6 Å³ per atom

Record 10
An optimized crystal structure of KTlOs2, computed with PBEsol.

Unit cell a=3.928 b=3.928 c=4.867 alpha=90.00 beta=90.00 gamma=90.00
Space group P4/mmm (No. 123)
Symmetry-distinct sites (fractional):
K  0.000  0.000  0.000
Tl  0.500  0.500  0.000
Os  0.000  0.500  0.500

Properties
* polymorph energy (0 for the lowest one): 0.189 eV per atom
* spin magnetization: 0.00 μB/atom
* formation enthalpy at 0 K: 1.6659 eV per atom
* V: 18.8 Å³ per atom

Record 11
An optimized crystal structure of K4TlOs, computed with PBEsol.

Unit cell a=9.129 b=9.129 c=9.129 alpha=90.00 beta=90.00 gamma=90.00
Space group F-43m (No. 216)
Symmetry-distinct sites (fractional):
K  0.124  0.124  0.124
Tl  0.000  0.000  0.500
Os  0.250  0.250  0.750

Properties
* spin magnetization: 0.24 μB/atom
* formation enthalpy at 0 K: 1.2639 eV per atom
* V: 31.7 Å³ per atom

Record 12
An optimized crystal structure of KOsW2, computed with PBEsol.

Unit cell a=5.653 b=9.568 c=2.625 alpha=90.00 beta=108.23 gamma=90.00
Space group C2/m (No. 12)
Symmetry-distinct sites (fractional):
K  0.000  0.000  0.000
Os  0.000  0.500  0.000
W  0.250  0.250  0.500

Properties
* spin magnetization: 0.00 μB/atom
* formation enthalpy at 0 K: 1.5428 eV per atom
* V: 16.9 Å³ per atom

Record 13
An optimized crystal structure of K4YOs, computed with PBEsol.

Unit cell a=9.126 b=9.126 c=9.126 alpha=90.00 beta=90.00 gamma=90.00
Space group F-43m (No. 216)
Symmetry-distinct sites (fractional):
K  0.122  0.122  0.378
Y  0.000  0.000  0.000
Os  0.250  0.250  0.750

Properties
* spin magnetization: 0.00 μB/atom
* formation enthalpy at 0 K: 1.4359 eV per atom
* V: 31.7 Å³ per atom

Record 14
An optimized crystal structure of KYOs, computed with PBEsol.

Unit cell a=3.403 b=3.403 c=15.209 alpha=90.00 beta=90.00 gamma=90.00
Space group I4mm (No. 107)
Symmetry-distinct sites (fractional):
K  0.000  0.000  0.000
Y  0.000  0.000  0.758
Os  0.000  0.000  0.348

Properties
* polymorph energy (0 for the lowest one): 0.000 eV per atom
* spin magnetization: 0.00 μB/atom
* formation enthalpy at 0 K: 0.6363 eV per atom
* V: 29.4 Å³ per atom

Record 15
An optimized crystal structure of KYOs, computed with PBEsol.

Unit cell a=6.568 b=6.568 c=6.568 alpha=90.00 beta=90.00 gamma=90.00
Space group F-43m (No. 216)
Symmetry-distinct sites (fractional):
K  0.000  0.000  0.000
Y  0.250  0.250  0.750
Os  0.250  0.250  0.250

Properties
* polymorph energy (0 for the lowest one): 1.285 eV per atom
* spin magnetization: 0.02 μB/atom
* formation enthalpy at 0 K: 1.9217 eV per atom
* V: 23.6 Å³ per atom

VASP energy readings, ordered: -5.0645; -5.8270; -5.7631; -5.0687; -3.7207; -5.5723; -5.4897; -5.0425; -5.5680; -5.3829; -1.9660; -8.6983; -2.4926; -6.0875; -4.8021 eV per atom